This record from the Alexandria database describes a geometry-optimized Li7Ni11O22 structure. The functional is PBE with a Hubbard U.

abc: 4.9371 8.7146 9.8458
angles: 114.44 94.87 94.79
Last column: nearest neighbours and their distance in Å.
Space group P-1 (No. 2)
Asymmetric unit:
Li 0.0000 0.0000 0.0000 x1  6 O 2.05-2.23
Li 0.0784 0.3578 0.1867 x2  6 O 2.07-2.31
Li 0.2613 0.0833 0.5390 x2  5 O 2.03-2.21
Li 0.3883 0.4528 0.7193 x2  5 O 2.03-2.21
Ni 0.0000 0.5000 0.5000 x1  6 O 1.89-2.09
Ni 0.0891 0.8632 0.6800 x2  6 O 1.86-1.93
Ni 0.1867 0.2257 0.8623 x2  6 O 1.93-2.06
Ni 0.2723 0.5889 0.0450 x2  6 O 1.88-1.91
Ni 0.3611 0.9541 0.2213 x2  6 O 1.96-2.04
Ni 0.4570 0.3133 0.4087 x2  5 O 1.88-2.10
O 0.0360 0.9462 0.3307 x2  3 Ni 1.86-2.02, 1 Li 2.06
O 0.0455 0.4412 0.8667 x2  3 Ni 1.88-2.04
O 0.1348 0.7802 0.0353 x2  3 Ni 1.89-1.99
O 0.1478 0.2817 0.5000 x2  3 Ni 1.89-2.09, 1 Li 2.03
O 0.1986 0.1477 0.2124 x2  2 Ni 1.86-1.96, 2 Li 2.05-2.08
O 0.2162 0.6592 0.6790 x2  3 Ni 1.89-1.94, 1 Li 2.08
O 0.2978 0.0168 0.8628 x2  3 Ni 1.89-1.98
O 0.3131 0.4988 0.3928 x2  2 Ni 1.88-1.94, 2 Li 2.03-2.07
O 0.4065 0.8861 0.5881 x2  3 Ni 1.91-2.00, 1 Li 2.13
O 0.4217 0.4026 0.0564 x2  3 Ni 1.88-2.06
O 0.4923 0.7405 0.2264 x2  3 Ni 1.90-2.04, 1 Li 2.08

Results
Calculated total energy, eV for the cell shown: -189.88
Crystal system: triclinic